Density functional theory data (PBE-GGA) for BaSnAuF2 after structural relaxation.

Output
* energy above the lowest structure with this stoichiometry: 0.0 meV per atom
* DOS at the Fermi energy: 0.463 states/eV/atom
* formation energy from raw total energies: -1.5501 eV per atom

Unit cell a=4.737 b=9.251 c=4.737 alpha=90.00 beta=90.00 gamma=90.00
Fractional coordinates of all 5 atoms:
F  0.000  0.000  0.500
F  0.500  0.000  0.000
Au  0.500  0.500  0.500
Ba  0.000  0.000  0.000
Sn  0.000  0.500  0.000


Density functional theory data (PBE-GGA) for TiGaBi2 after structural relaxation.

Output
* energy above the lowest structure with this stoichiometry: 211.7 meV per atom
* formation energy from the elements: 0.30 eV/atom
* DOS at the Fermi energy: 0.685 states/eV/atom

Unit cell a=6.529 b=6.529 c=7.913 alpha=65.63 beta=65.63 gamma=90.00
Fractional coordinates of all 8 atoms:
Bi  0.618  0.125  0.250
Bi  0.132  0.625  0.250
Bi  0.375  0.382  0.750
Bi  0.875  0.868  0.750
Ga  0.000  0.000  0.000
Ga  0.750  0.250  0.500
Ti  0.500  0.500  0.000
Ti  0.250  0.750  0.500


Density functional theory data (PBE-GGA) for Ca2Cd3In2 after structural relaxation.

Output
* energy above the lowest structure with this stoichiometry: 0.0 meV per atom
* formation energy from the elements: -0.30 eV/atom
* DOS at the Fermi energy: 0.420 states/eV/atom

Unit cell a=4.751 b=6.249 c=7.500 alpha=112.30 beta=90.00 gamma=112.34
Fractional coordinates of all 7 atoms:
Ca  0.853  0.707  0.234
Ca  0.147  0.293  0.766
Cd  0.500  0.000  0.000
Cd  0.598  0.197  0.430
Cd  0.402  0.803  0.570
In  0.851  0.702  0.777
In  0.149  0.298  0.223


Density functional theory data (PBE-GGA) for SrMoSe2 after structural relaxation.

Output
* energy above the lowest structure with this stoichiometry: 209.2 meV per atom
* DOS at the Fermi energy: 0.333 states/eV/atom
* formation energy from raw total energies: -0.5750 eV per atom

Unit cell a=3.780 b=4.080 c=7.123 alpha=89.50 beta=90.00 gamma=90.00
Fractional coordinates of all 4 atoms:
Mo  0.500  0.750  0.750
Se  0.000  0.753  0.006
Se  0.000  0.747  0.494
Sr  0.500  0.250  0.250